1.
The following is a DFT calculation (PBE) of a geometry-optimized Cd2ReSe structure.

a b c (Å): 6.8208 6.8208 4.7722
angles (deg): 110.40 110.40 25.58
Closest atoms and distances in Å follow each position.
Sites, in units of the cell vectors:
Cd1 0.0000 0.0000 0.0000  2 Re 2.89, 4 Cd 3.02-3.12
Cd2 0.1621 0.1621 0.6615  4 Re 2.86, 4 Cd 3.02-3.12
Re1 0.6982 0.6982 0.1974  2 Se 2.44
Se1 0.3527 0.3527 0.3517  2 Re 2.44

## Properties
ΔE_f (raw) (eV/f.u.): 1.12
Volume (Å³ per cell): 90

---

2.
The following is a DFT calculation (PBE) of a geometry-optimized Cd2ReSe structure.

a b c (Å): 2.8475 2.8475 9.9275
angles (deg): 90.00 90.00 90.00
Closest atoms and distances in Å follow each position.
Sites, in units of the cell vectors:
Cd1 0.0000 0.0000 0.2178  4 Cd 2.85, 4 Re 2.95
Cd2 0.0000 0.0000 0.7822  4 Cd 2.85, 4 Re 2.95
Re1 0.5000 0.5000 0.0000  4 Re 2.85, 8 Cd 2.95
Se1 0.5000 0.5000 0.5000  4 Se 2.85

## Properties
ΔE_f (raw) (eV/f.u.): 2.25
Volume (Å³ per cell): 80

---

3.
The following is a DFT calculation (PBE) of a geometry-optimized Cd2ReSe structure.

a b c (Å): 3.2078 4.6835 5.0181
angles (deg): 90.00 90.00 90.00
Closest atoms and distances in Å follow each position.
Sites, in units of the cell vectors:
Cd1 0.0000 0.0000 0.0000  4 Cd 2.84, 4 Se 2.98
Cd2 0.5000 0.5000 0.0000  4 Cd 2.84, 4 Re 2.98
Re1 0.0000 0.5000 0.5000  4 Se 2.84, 4 Cd 2.98
Se1 0.5000 0.0000 0.5000  4 Re 2.84, 4 Cd 2.98

## Properties
ΔE_f (raw) (eV/f.u.): 2.94
Volume (Å³ per cell): 75

---

4.
The following is a DFT calculation (PBE) of a geometry-optimized Cd2ReSe structure.

a b c (Å): 5.2222 5.2222 5.2222
angles (deg): 132.14 132.14 70.00
Closest atoms and distances in Å follow each position.
Sites, in units of the cell vectors:
Cd1 0.0000 0.0000 0.0000  4 Se 3.00, 4 Cd 3.01, 4 Re 3.01
Cd2 0.7500 0.2500 0.5000  4 Re 3.00, 4 Cd 3.01, 4 Se 3.01
Re1 0.2500 0.7500 0.5000  8 Cd 3.00-3.01, 4 Se 3.01
Se1 0.5000 0.5000 0.0000  8 Cd 3.00-3.01, 4 Re 3.01

## Properties
ΔE_f (raw) (eV/f.u.): 3.02
Volume (Å³ per cell): 77

---

5.
The following is a DFT calculation (PBE) of a geometry-optimized Cd2ReSe structure.

a b c (Å): 3.6514 3.6514 5.7377
angles (deg): 90.00 90.00 90.00
Closest atoms and distances in Å follow each position.
Sites, in units of the cell vectors:
Cd1 0.0000 0.0000 0.2406  2 Cd 2.76-2.98, 4 Re 2.93, 4 Se 2.98
Cd2 0.0000 0.0000 0.7594  2 Cd 2.76-2.98, 4 Re 2.93, 4 Se 2.98
Re1 0.5000 0.5000 0.0000  2 Se 2.87, 8 Cd 2.93
Se1 0.5000 0.5000 0.5000  2 Re 2.87, 8 Cd 2.98

## Properties
ΔE_f (raw) (eV/f.u.): 2.85
Volume (Å³ per cell): 76

---

6.
The following is a DFT calculation (PBE) of a geometry-optimized CdRe2Se structure.

a b c (Å): 2.8008 2.8008 10.6187
angles (deg): 90.00 90.00 116.06
Closest atoms and distances in Å follow each position.
Sites, in units of the cell vectors:
Cd1 0.0000 0.0000 0.0000  6 Cd 2.80-2.97, 2 Re 3.03
Re1 0.0000 0.0000 0.4505  6 Re 2.60-2.80, 2 Se 2.69
Re2 0.5000 0.5000 0.2492  6 Re 2.60-2.80
Se1 0.5000 0.5000 0.6615  2 Re 2.69, 6 Se 2.80-2.97

## Properties
ΔE_f (raw) (eV/f.u.): 1.97
Volume (Å³ per cell): 75

---

7.
The following is a DFT calculation (PBE) of a geometry-optimized CdRe2Se structure.

a b c (Å): 4.5179 4.5179 3.1745
angles (deg): 90.00 90.00 90.00
Closest atoms and distances in Å follow each position.
Sites, in units of the cell vectors:
Cd1 0.0000 0.0000 0.0000  8 Re 2.76
Re1 0.0000 0.5000 0.5000  4 Se 2.76, 4 Cd 2.76
Re2 0.5000 0.0000 0.5000  4 Se 2.76, 4 Cd 2.76
Se1 0.5000 0.5000 0.0000  8 Re 2.76

## Properties
ΔE_f (raw) (eV/f.u.): 4.20
Volume (Å³ per cell): 65

---

8.
The following is a DFT calculation (PBE) of a geometry-optimized CdRe2Se structure.

a b c (Å): 5.2867 5.2867 5.2657
angles (deg): 109.06 109.06 32.49
Closest atoms and distances in Å follow each position.
Sites, in units of the cell vectors:
Cd1 0.0000 0.0000 0.0000  6 Re 2.91-3.13, 2 Cd 2.96, 3 Se 3.01-3.22
Re1 0.4842 0.4842 0.4658  2 Re 2.58, 2 Se 2.62
Re2 0.7644 0.7644 0.3768  2 Se 2.48, 2 Re 2.58
Se1 0.2054 0.2054 0.7018  4 Re 2.48-2.62

## Properties
ΔE_f (raw) (eV/f.u.): 2.44
Volume (Å³ per cell): 74